MgBiCl2: PBEsol geometry, meta-GGA SCAN.

Properties
* total energy: -25.45 eV per atom
* space group: R-3m, No. 166

Cell lengths 3.4589, 3.4589, 9.7430 Å; angles 79.78, 79.78, 60.00 degrees
Closest atoms and distances in Å follow each position.
Atoms (fractional coordinates):
Mg1 0.0000 0.0000 0.0000  2 Cl 2.43
Bi1 0.5000 0.5000 0.5000  6 Cl 3.07
Cl1 0.9150 0.9150 0.2551  1 Mg 2.43
Cl2 0.0850 0.0850 0.7449  1 Mg 2.43